Material: SrMnTcO6
Method: DFT, GGA+U
State: optimized geometry

Computed properties:
Volume ... 243 Å³/cell
Uncorrected energy ... -0.5223 Ry/atom
Total magnetic moment ... 4.01 μB per formula unit

abc: 5.0257 5.0257 9.6019
angles: 90.00 90.00 90.00
With the nearest neighbours (Å) after each atom.
Element x y z (fractional)
O 0.6634 0.6634 0.0036  1 Mn 1.91, 1 Tc 2.01
O 0.8366 0.1634 0.5036  1 Mn 1.91, 1 Tc 2.01
O 0.2670 0.2670 0.6928  1 Tc 1.91
O 0.7041 0.7041 0.2897  1 Tc 1.83
Tc 0.0000 0.0000 0.6743  6 O 1.83-2.01
Sr 0.5000 0.5000 0.5084  6 O 2.39-2.55
O 0.7670 0.2330 0.1928  1 Tc 1.91
O 0.3366 0.3366 0.0036  1 Mn 1.91, 1 Tc 2.01
O 0.2041 0.7959 0.7897  1 Tc 1.83
O 0.7330 0.7330 0.6928  1 Tc 1.91
O 0.2959 0.2959 0.2897  1 Tc 1.83
O 0.7959 0.2041 0.7897  1 Tc 1.83
O 0.2330 0.7670 0.1928  1 Tc 1.91
Mn 0.0000 0.0000 0.3450  2 O 1.91
Sr 0.0000 0.0000 0.0084  6 O 2.39-2.55
O 0.1634 0.8366 0.5036  1 Mn 1.91, 1 Tc 2.01
Mn 0.5000 0.5000 0.8450  2 O 1.91
Tc 0.5000 0.5000 0.1743  6 O 1.83-2.01